[1]
An optimized crystal structure of CaMnW2, computed with PBE.

Values from the calculation:
density of states at the Fermi level: 3.92 states/eV/f.u.
formation enthalpy at 0 K: 1.06 eV per atom
electronic total energy: -32.83 eV per cell
size of the total moment: 0.0000 μB/atom
V: 16.0 A^3/atom
offset from the most stable computed form: 463.9 meV/atom

Lattice parameters (Å, degrees): 4.4889 4.4889 4.4889 60.00 60.00 60.00
Sites, in units of the cell vectors:
Ca (0.0000, 0.0000, 0.0000)
Mn (0.5000, 0.5000, 0.5000)
W (0.2500, 0.2500, 0.2500)
W (0.7500, 0.7500, 0.7500)

***

[2]
An optimized crystal structure of CaMnW2, computed with PBE.

Values from the calculation:
density of states at the Fermi level: 4.11 states/eV/f.u.
formation enthalpy at 0 K: 0.64 eV per atom
electronic total energy: -34.50 eV per cell
size of the total moment: 0.0000 μB/atom
V: 17.6 A^3/atom
offset from the most stable computed form: 46.8 meV/atom

Lattice parameters (Å, degrees): 2.8845 2.8845 8.4795 90.00 90.00 90.00
Sites, in units of the cell vectors:
Ca (0.0000, 0.0000, 0.0000)
Mn (0.0000, 0.0000, 0.5000)
W (0.5000, 0.5000, 0.3153)
W (0.5000, 0.5000, 0.6847)

***

[3]
An optimized crystal structure of CaMnW2, computed with PBE.

Values from the calculation:
density of states at the Fermi level: 4.72 states/eV/f.u.
formation enthalpy at 0 K: 0.87 eV per atom
electronic total energy: -33.60 eV per cell
size of the total moment: 0.6940 μB/atom
V: 17.6 A^3/atom
offset from the most stable computed form: 272.8 meV/atom

Lattice parameters (Å, degrees): 5.5431 5.5431 2.6939 90.00 90.00 121.64
Sites, in units of the cell vectors:
Ca (0.0000, 0.0000, 0.0000)
Mn (0.5000, 0.5000, 0.0000)
W (0.0000, 0.5000, 0.5000)
W (0.5000, 0.0000, 0.5000)

***

[4]
An optimized crystal structure of CaMnW2, computed with PBE.

Values from the calculation:
density of states at the Fermi level: 4.90 states/eV/f.u.
formation enthalpy at 0 K: 1.43 eV per atom
electronic total energy: -62.71 eV per cell
size of the total moment: 0.2723 μB/atom
V: 25.0 A^3/atom
offset from the most stable computed form: 833.8 meV/atom

Lattice parameters (Å, degrees): 9.0514 9.0514 9.0514 148.62 148.62 44.97
Sites, in units of the cell vectors:
Ca (0.0000, 0.0000, 0.0000)
Ca (0.7500, 0.2500, 0.5000)
Mn (0.2500, 0.7500, 0.5000)
Mn (0.5000, 0.5000, 0.0000)
W (0.3647, 0.1250, 0.7397)
W (0.3750, 0.6353, 0.7603)
W (0.3853, 0.6250, 0.2603)
W (0.8750, 0.6147, 0.2397)

***

[5]
An optimized crystal structure of Ca2MnW, computed with PBE.

Values from the calculation:
density of states at the Fermi level: 2.69 states/eV/f.u.
formation enthalpy at 0 K: 0.43 eV per atom
electronic total energy: -24.42 eV per cell
size of the total moment: 0.3278 μB/atom
V: 24.1 A^3/atom
offset from the most stable computed form: 0.0 meV/atom

Lattice parameters (Å, degrees): 3.2905 3.2908 8.8866 90.00 90.06 90.00
Sites, in units of the cell vectors:
Ca (0.0000, 0.0000, 0.0000)
Ca (0.4983, 0.5000, 0.3838)
Mn (0.9989, 0.0000, 0.6362)
W (0.4991, 0.5000, 0.7373)

***

[6]
An optimized crystal structure of Ca2MnW, computed with PBE.

Values from the calculation:
density of states at the Fermi level: 3.71 states/eV/f.u.
formation enthalpy at 0 K: 0.88 eV per atom
electronic total energy: -22.60 eV per cell
size of the total moment: 0.8863 μB/atom
V: 22.1 A^3/atom
offset from the most stable computed form: 455.6 meV/atom

Lattice parameters (Å, degrees): 2.9707 2.9707 10.0287 90.00 90.00 92.24
Sites, in units of the cell vectors:
Ca (0.0000, 0.0000, 0.2433)
Ca (0.0000, 0.0000, 0.7567)
Mn (0.5000, 0.5000, 0.5000)
W (0.5000, 0.5000, 0.0000)

***

[7]
An optimized crystal structure of Ca2MnW, computed with PBE.

Values from the calculation:
density of states at the Fermi level: 4.45 states/eV/f.u.
formation enthalpy at 0 K: 0.96 eV per atom
electronic total energy: -22.30 eV per cell
size of the total moment: 0.7692 μB/atom
V: 21.7 A^3/atom
offset from the most stable computed form: 531.4 meV/atom

Lattice parameters (Å, degrees): 2.9338 4.9990 5.9563 90.00 96.05 90.00
Sites, in units of the cell vectors:
Ca (0.0304, 0.0000, 0.2457)
Ca (0.9696, 0.0000, 0.7543)
Mn (0.5000, 0.5000, 0.5000)
W (0.5000, 0.5000, 0.0000)

***

[8]
An optimized crystal structure of CaMnW2, computed with PBE.

Values from the calculation:
density of states at the Fermi level: 4.52 states/eV/f.u.
formation enthalpy at 0 K: 0.88 eV per atom
electronic total energy: -33.56 eV per cell
size of the total moment: 0.7501 μB/atom
V: 17.7 A^3/atom
offset from the most stable computed form: 283.8 meV/atom

Lattice parameters (Å, degrees): 2.6816 4.8469 5.4514 90.00 90.00 90.00
Sites, in units of the cell vectors:
Ca (0.0000, 0.0000, 0.0000)
Mn (0.0000, 0.0000, 0.5000)
W (0.5000, 0.5000, 0.2586)
W (0.5000, 0.5000, 0.7414)

***

[9]
An optimized crystal structure of CaMnW2, computed with PBE.

Values from the calculation:
density of states at the Fermi level: 4.19 states/eV/f.u.
formation enthalpy at 0 K: 0.60 eV per atom
electronic total energy: -34.69 eV per cell
size of the total moment: 0.6750 μB/atom
V: 17.8 A^3/atom
offset from the most stable computed form: 0.0 meV/atom

Lattice parameters (Å, degrees): 2.8109 2.8109 9.4991 90.00 90.00 108.56
Sites, in units of the cell vectors:
Ca (0.0000, 0.0000, 0.0000)
Mn (0.5000, 0.5000, 0.7208)
W (0.0000, 0.0000, 0.5107)
W (0.5000, 0.5000, 0.2821)

***

[10]
An optimized crystal structure of Ca2MnW, computed with PBE.

Values from the calculation:
density of states at the Fermi level: 11.29 states/eV/f.u.
formation enthalpy at 0 K: 1.53 eV per atom
electronic total energy: -20.01 eV per cell
size of the total moment: 0.6467 μB/atom
V: 21.9 A^3/atom
offset from the most stable computed form: 1104.4 meV/atom

Lattice parameters (Å, degrees): 4.9849 4.9849 4.9849 60.00 60.00 60.00
Sites, in units of the cell vectors:
Ca (0.2500, 0.2500, 0.2500)
Ca (0.7500, 0.7500, 0.7500)
Mn (0.0000, 0.0000, 0.0000)
W (0.5000, 0.5000, 0.5000)

***

[11]
An optimized crystal structure of CaMnW, computed with PBE.

Values from the calculation:
density of states at the Fermi level: 2.16 states/eV/f.u.
formation enthalpy at 0 K: 0.89 eV per atom
electronic total energy: -21.46 eV per cell
size of the total moment: 0.9283 μB/atom
V: 18.8 A^3/atom
offset from the most stable computed form: 356.9 meV/atom

Lattice parameters (Å, degrees): 4.7827 4.7827 2.8442 90.00 90.00 120.00
Sites, in units of the cell vectors:
Ca (0.0000, 0.0000, 0.0000)
Mn (0.6667, 0.3333, 0.5034)
W (0.3333, 0.6667, 0.4963)

***

[12]
An optimized crystal structure of Ca2MnW, computed with PBE.

Values from the calculation:
density of states at the Fermi level: 3.03 states/eV/f.u.
formation enthalpy at 0 K: 0.61 eV per atom
electronic total energy: -23.69 eV per cell
size of the total moment: 0.0046 μB/atom
V: 22.8 A^3/atom
offset from the most stable computed form: 182.2 meV/atom

Lattice parameters (Å, degrees): 5.9357 5.9357 5.9357 146.76 126.54 64.42
Sites, in units of the cell vectors:
Ca (0.0000, 0.0000, 0.0000)
Ca (0.7054, 0.2054, 0.5000)
Mn (0.2623, 0.7623, 0.5000)
W (0.4109, 0.4109, 0.0000)

***

[13]
An optimized crystal structure of CaMnW, computed with PBE.

Values from the calculation:
density of states at the Fermi level: 2.59 states/eV/f.u.
formation enthalpy at 0 K: 1.17 eV per atom
electronic total energy: -20.61 eV per cell
size of the total moment: 0.2498 μB/atom
V: 20.3 A^3/atom
offset from the most stable computed form: 641.4 meV/atom

Lattice parameters (Å, degrees): 4.4148 4.4148 4.4148 60.00 60.00 60.00
Sites, in units of the cell vectors:
Ca (0.0000, 0.0000, 0.0000)
Mn (0.7500, 0.7500, 0.7500)
W (0.5000, 0.5000, 0.5000)

***

[14]
An optimized crystal structure of CaMnW3, computed with PBE.

Values from the calculation:
density of states at the Fermi level: 5.29 states/eV/f.u.
formation enthalpy at 0 K: 1.23 eV per atom
electronic total energy: -43.87 eV per cell
size of the total moment: 0.1510 μB/atom
V: 19.5 A^3/atom
offset from the most stable computed form: 0.0 meV/atom

Lattice parameters (Å, degrees): 4.6061 4.6061 4.6061 90.00 90.00 90.00
Sites, in units of the cell vectors:
Ca (0.0000, 0.0000, 0.0000)
Mn (0.5000, 0.5000, 0.5000)
W (0.0000, 0.5000, 0.5000)
W (0.5000, 0.0000, 0.5000)
W (0.5000, 0.5000, 0.0000)

***

[15]
An optimized crystal structure of CaMnW2, computed with PBE.

Values from the calculation:
density of states at the Fermi level: 5.34 states/eV/f.u.
formation enthalpy at 0 K: 0.79 eV per atom
electronic total energy: -33.91 eV per cell
size of the total moment: 0.2977 μB/atom
V: 17.3 A^3/atom
offset from the most stable computed form: 195.9 meV/atom

Lattice parameters (Å, degrees): 9.4823 9.4823 9.4823 17.76 17.76 17.76
Sites, in units of the cell vectors:
Ca (0.0000, 0.0000, 0.0000)
Mn (0.5000, 0.5000, 0.5000)
W (0.2361, 0.2361, 0.2361)
W (0.7639, 0.7639, 0.7639)